A plane-wave DFT calculation with PBE-GGA was carried out for a relaxed structure of Sm5Er12Th2.

Summary:
E_form	15.4	kJ per mole of atoms
E above lowest polymorph	0.00	eV/f.u.

Unit cell a=6.194 b=9.675 c=10.454 alpha=80.14 beta=82.24 gamma=87.50
Space group P-1 (No. 2)
Asymmetric unit:
Sm: 0.000 0.000 0.000 [1 per cell]
Sm: 0.099 0.960 0.337 [2 per cell]
Sm: 0.410 0.547 0.853 [2 per cell]
Er: 0.057 0.344 0.764 [2 per cell]
Er: 0.071 0.719 0.614 [2 per cell]
Er: 0.115 0.321 0.089 [2 per cell]
Er: 0.413 0.878 0.780 [2 per cell]
Er: 0.419 0.166 0.543 [2 per cell]
Er: 0.471 0.816 0.112 [2 per cell]
Th: 0.297 0.507 0.430 [2 per cell]

A plane-wave DFT calculation with PBE-GGA was carried out for a relaxed structure of UInSn.

Summary:
E_form	46.7	kJ per mole of atoms
E above lowest polymorph	1.42	eV/f.u.

Unit cell a=6.501 b=6.559 c=8.811 alpha=90.00 beta=90.00 gamma=90.00
Space group Cccm (No. 66)
Asymmetric unit:
U: 0.250 0.250 0.000 [4 per cell]
In: 0.000 0.000 0.250 [4 per cell]
Sn: 0.000 0.500 0.250 [4 per cell]

- The lowest E_form belongs to which entry?
  Sm5Er12Th2

- E above lowest polymorph of number 2 (UInSn)?
  1.42 eV/f.u.

Please write out number 2 again, unchanged.
A plane-wave DFT calculation with PBE-GGA was carried out for a relaxed structure of UInSn.

Summary:
E_form	46.7	kJ per mole of atoms
E above lowest polymorph	1.42	eV/f.u.

Unit cell a=6.501 b=6.559 c=8.811 alpha=90.00 beta=90.00 gamma=90.00
Space group Cccm (No. 66)
Asymmetric unit:
U: 0.250 0.250 0.000 [4 per cell]
In: 0.000 0.000 0.250 [4 per cell]
Sn: 0.000 0.500 0.250 [4 per cell]

- What is the formula in the first record?
  Sm5Er12Th2